No. 1
A plane-wave DFT calculation with PBE was carried out for a relaxed structure of NiBrN2.

The density comes out at 6.5 g/cm3. As for the energy above the most stable polymorph in this dataset: 1362 meV per atom. The formation energy without anion corrections comes out at 2.339 eV per atom. The calculation puts the volume at 10.6 Å³ per atom. For the total magnetization, the calculation gives 3.14 μB/cell.

It has space group Fm-3m (No. 225), with a = 5.542 Å, b = 5.542 Å, c = 5.542 Å, α = 90.00°, β = 90.00° and γ = 90.00°. The asymmetric unit holds Ni at (0.000, 0.000, 0.000), Br at (0.000, 0.000, 0.500) and N at (0.250, 0.250, 0.250).

---

No. 2
A plane-wave DFT calculation with PBE was carried out for a relaxed structure of Ni3BrN.

The density comes out at 5.3 g/cm3. As for the energy above the most stable polymorph in this dataset: 1490 meV per atom. The formation energy without anion corrections comes out at 1.842 eV per atom. The calculation puts the volume at 16.8 Å³ per atom. For the total magnetization, the calculation gives 3.97 μB/cell.

It has space group Pm-3m (No. 221), with a = 4.381 Å, b = 4.381 Å, c = 4.381 Å, α = 90.00°, β = 90.00° and γ = 90.00°. The asymmetric unit holds Ni at (0.000, 0.000, 0.500), Br at (0.000, 0.000, 0.000) and N at (0.500, 0.500, 0.500).

---

No. 3
A plane-wave DFT calculation with PBE was carried out for a relaxed structure of Ni3BrN.

The density comes out at 7.5 g/cm3. As for the energy above the most stable polymorph in this dataset: 0 meV per atom. The formation energy without anion corrections comes out at 0.352 eV per atom. The calculation puts the volume at 12.0 Å³ per atom. For the total magnetization, the calculation gives 0.00 μB/cell.

It has space group Pm-3m (No. 221), with a = 3.912 Å, b = 3.912 Å, c = 3.912 Å, α = 90.00°, β = 90.00° and γ = 90.00°. The asymmetric unit holds Ni at (0.000, 0.000, 0.500), Br at (0.500, 0.500, 0.500) and N at (0.000, 0.000, 0.000).

---

No. 4
A plane-wave DFT calculation with PBE was carried out for a relaxed structure of NiBrN.

The density comes out at 3.9 g/cm3. The formation energy without anion corrections comes out at -0.049 eV per atom. The calculation puts the volume at 21.4 Å³ per atom. For the total magnetization, the calculation gives 4.03 μB/cell.

It has space group C2/m (No. 12), with a = 6.534 Å, b = 3.769 Å, c = 10.717 Å, α = 90.00°, β = 102.92° and γ = 90.00°. The asymmetric unit holds Ni at (0.088, 0.000, 0.227), Br at (0.209, 0.000, 0.672) and N at (0.022, 0.000, 0.055).

---

No. 5
A plane-wave DFT calculation with PBE was carried out for a relaxed structure of NiBrN2.

The density comes out at 5.8 g/cm3. As for the energy above the most stable polymorph in this dataset: 0 meV per atom. The formation energy without anion corrections comes out at 0.977 eV per atom. The calculation puts the volume at 11.9 Å³ per atom. For the total magnetization, the calculation gives 0.00 μB/cell.

It has space group R-3m (No. 166, hexagonal axes), with a = 3.0648 Å, b = 3.0648 Å, c = 17.5027 Å, α = 90.00°, β = 90.00° and γ = 120.00°. The asymmetric unit holds Ni at (0.0000, 0.0000, 0.0000), Br at (0.0000, 0.0000, 0.5000) and N at (0.0000, 0.0000, 0.3833).

---

No. 6
A plane-wave DFT calculation with PBE was carried out for a relaxed structure of NiBrN.

The density comes out at 4.4 g/cm3. The formation energy without anion corrections comes out at 0.617 eV per atom. The calculation puts the volume at 19.1 Å³ per atom. For the total magnetization, the calculation gives 0.45 μB/cell.

It has space group Imm2 (No. 44), with a = 2.627 Å, b = 2.758 Å, c = 15.847 Å, α = 90.00°, β = 90.00° and γ = 90.00°. The asymmetric unit holds Ni at (0.000, 0.000, 0.000), Br at (0.000, 0.000, 0.755) and N at (0.000, 0.000, 0.500).

---

Q: Number 5 is which compound?
A: NiBrN2